w:
Material: TlCdHg2Bi
Method: DFT, PBE-GGA
State: relaxed

Results
Space group   No. 11

Cell lengths 3.4761, 8.7851, 10.0270 Å; angles 113.51, 90.00, 90.00 degrees
Last column: nearest neighbours and their distance in Å.
Element x y z (fractional)
Tl: 0.2500 0.0677 0.1740  2 Cd 3.35, 4 Hg 3.47-3.68, 4 Tl 3.48-3.65, 3 Bi 3.48-3.56
Tl: 0.7500 0.9323 0.8260  2 Cd 3.35, 4 Hg 3.47-3.68, 4 Tl 3.48-3.65, 3 Bi 3.48-3.56
Cd: 0.2500 0.7150 0.5246  6 Hg 2.99-3.32, 2 Tl 3.35
Cd: 0.7500 0.2850 0.4754  6 Hg 2.99-3.32, 2 Tl 3.35
Hg: 0.7500 0.8747 0.3631  3 Cd 3.07-3.32, 1 Bi 3.16, 3 Hg 3.25-3.33
Hg: 0.2500 0.1253 0.6369  3 Cd 3.07-3.32, 1 Bi 3.16, 3 Hg 3.25-3.33
Hg: 0.7500 0.4680 0.2796  3 Cd 2.99-3.08, 2 Bi 3.27, 1 Hg 3.33
Hg: 0.2500 0.5320 0.7204  3 Cd 2.99-3.08, 2 Bi 3.27, 1 Hg 3.33
Bi: 0.2500 0.3177 0.9787  3 Hg 3.16-3.27, 4 Bi 3.48-3.52, 1 Tl 3.48
Bi: 0.7500 0.6823 0.0213  3 Hg 3.16-3.27, 4 Bi 3.48-3.52, 1 Tl 3.48

x:
Material: TlCdHg2Bi
Method: DFT, PBE-GGA
State: relaxed

Results
Space group   No. 123

Cell lengths 5.9115, 5.9423, 5.9115 Å; angles 90.00, 90.00, 90.00 degrees
Last column: nearest neighbours and their distance in Å.
Element x y z (fractional)
Tl: 0.5000 0.5000 0.5000  4 Cd 4.18, 8 Hg 4.19
Cd: 0.0000 0.5000 0.0000  2 Bi 2.97
Bi: 0.0000 0.0000 0.0000  4 Hg 2.96, 2 Cd 2.97
Hg: 0.0000 0.0000 0.5000  2 Bi 2.96
Hg: 0.5000 0.0000 0.0000  2 Bi 2.96

Name the least stable of them. x.

w:
Material: YCdHgBi
Method: DFT, PBE-GGA
State: relaxed

Results
Space group   No. 216

Cell lengths 5.3487, 5.3487, 5.3487 Å; angles 60.00, 60.00, 60.00 degrees
Last column: nearest neighbours and their distance in Å.
Element x y z (fractional)
Y: 0.7500 0.7500 0.7500  4 Hg 3.28, 4 Bi 3.28
Cd: 0.2500 0.2500 0.2500  4 Hg 3.28, 4 Bi 3.28
Bi: 0.0000 0.0000 0.0000  4 Cd 3.28, 4 Y 3.28
Hg: 0.5000 0.5000 0.5000  4 Cd 3.28, 4 Y 3.28

x:
Material: YCdHgBi
Method: DFT, PBE-GGA
State: relaxed

Results
Space group   No. 47

Cell lengths 4.6110, 4.4415, 5.0935 Å; angles 90.00, 90.00, 90.00 degrees
Last column: nearest neighbours and their distance in Å.
Element x y z (fractional)
Y: 0.5000 0.0000 0.5000  4 Bi 3.20, 4 Hg 3.38, 4 Cd 3.44
Cd: 0.0000 0.0000 0.0000  4 Hg 3.20, 4 Bi 3.38, 4 Y 3.44
Hg: 0.5000 0.5000 0.0000  4 Cd 3.20, 4 Y 3.38, 4 Bi 3.44
Bi: 0.0000 0.5000 0.5000  4 Y 3.20, 4 Cd 3.38, 4 Hg 3.44

Name the least stable of them. w.

w:
Material: Ho2CdBi
Method: DFT, PBE-GGA
State: relaxed

Results
Space group   No. 225

Cell lengths 5.3802, 5.3802, 5.3802 Å; angles 60.00, 60.00, 60.00 degrees
Last column: nearest neighbours and their distance in Å.
Element x y z (fractional)
Cd: 0.0000 0.0000 0.0000  8 Ho 3.29
Bi: 0.5000 0.5000 0.5000  8 Ho 3.29
Ho: 0.2500 0.2500 0.2500  4 Bi 3.29, 4 Cd 3.29
Ho: 0.7500 0.7500 0.7500  4 Cd 3.29, 4 Bi 3.29

x:
Material: Ho2CdBi
Method: DFT, PBE-GGA
State: relaxed

Results
Space group   No. 166

Cell lengths 4.2827, 4.2827, 8.0586 Å; angles 74.59, 74.59, 60.00 degrees
Last column: nearest neighbours and their distance in Å.
Element x y z (fractional)
Cd: 0.0000 0.0000 0.0000  6 Ho 3.16
Bi: 0.5000 0.5000 0.5000  6 Ho 3.09
Ho: 0.2475 0.2475 0.2575  3 Bi 3.09, 3 Cd 3.16
Ho: 0.7525 0.7525 0.7425  3 Bi 3.09, 3 Cd 3.16

Name the least stable of them. x.

w:
Material: CdBi2I
Method: DFT, PBE-GGA
State: relaxed

Results
Space group   No. 225

Cell lengths 5.5821, 5.5821, 5.5821 Å; angles 60.00, 60.00, 60.00 degrees
Last column: nearest neighbours and their distance in Å.
Element x y z (fractional)
I: 0.5000 0.5000 0.5000  8 Bi 3.42
Bi: 0.2500 0.2500 0.2500  4 I 3.42, 4 Cd 3.42
Bi: 0.7500 0.7500 0.7500  4 I 3.42, 4 Cd 3.42
Cd: 0.0000 0.0000 0.0000  8 Bi 3.42

x:
Material: CdBi2I
Method: DFT, PBE-GGA
State: relaxed

Results
Space group   No. 122

Cell lengths 4.7138, 4.7138, 12.8606 Å; angles 79.44, 79.44, 90.00 degrees
Last column: nearest neighbours and their distance in Å.
Element x y z (fractional)
I: 0.0000 0.0000 0.0000  4 Cd 3.33, 4 Bi 3.60
I: 0.7500 0.2500 0.5000  4 Cd 3.33, 4 Bi 3.60
Bi: 0.5783 0.1250 0.2500  2 Bi 3.04
Bi: 0.1717 0.6250 0.2500  2 Bi 3.04
Bi: 0.3750 0.4217 0.7500  2 Bi 3.04
Bi: 0.8750 0.8283 0.7500  2 Bi 3.04
Cd: 0.5000 0.5000 0.0000  4 I 3.33, 4 Bi 3.46
Cd: 0.2500 0.7500 0.5000  4 I 3.33, 4 Bi 3.46

Name the least stable of them. w.